No. 1
First-principles (PBE-GGA) data for Sm6InFe13 after structural relaxation, as listed in Alexandria.

The structure in POSCAR format:
```
Sm6InFe13
1.0
-4.0089 4.0089 11.6020
4.0089 -4.0089 11.6020
4.0089 4.0089 -11.6020
Sm In Fe
12 2 26
Cartesian
2.6909 -1.3179 4.2783 Sm
0.0000 0.0000 2.4227 Sm
5.3268 -1.3179 7.3237 Sm
5.3268 1.3179 4.2783 Sm
0.0000 0.0000 9.1793 Sm
2.6909 1.3179 7.3237 Sm
1.3179 2.6909 4.2783 Sm
0.0000 0.0000 14.0246 Sm
-1.3179 2.6909 7.3237 Sm
-1.3179 5.3268 4.2783 Sm
0.0000 0.0000 20.7813 Sm
1.3179 5.3268 7.3237 Sm
0.0000 0.0000 5.8010 In
0.0000 0.0000 17.4030 In
4.0089 0.0000 0.0000 Fe
3.0960 0.9129 -2.2025 Fe
1.6803 0.5322 0.0000 Fe
5.4438 1.4349 -1.3752 Fe
3.0960 0.9129 2.2025 Fe
3.4766 -2.3285 11.6020 Fe
5.4438 1.4349 1.3752 Fe
1.4349 2.5739 -1.3752 Fe
3.4766 2.3285 0.0000 Fe
3.0960 -0.9129 9.3994 Fe
1.4349 2.5739 1.3752 Fe
1.6803 -0.5322 11.6020 Fe
3.0960 -0.9129 13.8045 Fe
0.0000 4.0089 0.0000 Fe
0.9129 4.9217 -2.2025 Fe
2.3285 4.5411 0.0000 Fe
2.5739 1.4349 10.2268 Fe
0.9129 4.9217 2.2025 Fe
0.5322 1.6803 11.6020 Fe
2.5739 1.4349 12.9772 Fe
-1.4349 2.5739 10.2268 Fe
0.5322 6.3374 0.0000 Fe
0.9129 3.0960 9.3994 Fe
-1.4349 2.5739 12.9772 Fe
2.3285 3.4766 11.6020 Fe
0.9129 3.0960 13.8045 Fe
```

E_tot, eV per atom: -7.125
Total moment, Bohr magnetons per cell: 51.99
SG: I4/mcm
Calculated volume, Å³ per cell: 746



No. 2
First-principles (PBE-GGA) data for Sm3InFe after structural relaxation, as listed in Alexandria.

The structure in POSCAR format:
```
Sm3InFe
1.0
5.1973 0.0000 0.0000
0.0000 5.1973 0.0000
0.0000 0.0000 5.1973
Sm In Fe
3 1 1
Cartesian
0.0000 0.0000 2.5986 Sm
0.0000 2.5986 0.0000 Sm
2.5986 0.0000 0.0000 Sm
2.5986 2.5986 2.5986 In
0.0000 0.0000 0.0000 Fe
```

E_tot, eV per atom: -5.113
Total moment, Bohr magnetons per cell: 0.19
SG: Pm-3m
Calculated volume, Å³ per cell: 140



Look up the calculated volume of the first one. 746 Å³ per cell